# 1
Tl2CdAu: relaxed, PBE.

Output
Its symmetry is Pm, No. 6. Its uncorrected energy is -2.240 eV per atom.

Cell lengths 4.6032, 3.9346, 6.1335 Å; angles 70.15, 90.00, 90.00 degrees
Fractional positions:
Tl: 0.0000 0.9607 0.9424
Tl: 0.5000 0.2823 0.3175
Au: 0.0000 0.7080 0.4714
Cd: 0.5000 0.5490 0.7688


# 2
TlCd5Au4: relaxed, PBE.

Output
Its symmetry is P4/mmm, No. 123. Its uncorrected energy is -2.126 eV per atom.

Cell lengths 3.3967, 3.3967, 18.3232 Å; angles 90.00, 90.00, 90.00 degrees
Fractional positions:
Tl: 0.0000 0.0000 0.0000
Cd: 0.5000 0.5000 0.1323
Cd: 0.5000 0.5000 0.3163
Cd: 0.5000 0.5000 0.5000
Cd: 0.5000 0.5000 0.6837
Cd: 0.5000 0.5000 0.8677
Au: 0.0000 0.0000 0.2233
Au: 0.0000 0.0000 0.4083
Au: 0.0000 0.0000 0.5917
Au: 0.0000 0.0000 0.7767


# 3
Tl2Cd2Au: relaxed, PBE.

Output
Its symmetry is P4/mbm, No. 127. Its uncorrected energy is -1.831 eV per atom.

Cell lengths 7.6834, 7.6834, 4.5807 Å; angles 90.00, 90.00, 90.00 degrees
Fractional positions:
Tl: 0.3436 0.8436 0.0000
Tl: 0.8436 0.6564 0.0000
Tl: 0.6564 0.1564 0.0000
Tl: 0.1564 0.3436 0.0000
Au: 0.0000 0.0000 0.0000
Au: 0.5000 0.5000 0.0000
Cd: 0.1500 0.6500 0.5000
Cd: 0.6500 0.8500 0.5000
Cd: 0.8500 0.3500 0.5000
Cd: 0.3500 0.1500 0.5000


Number 1: DOS at the Fermi energy 1.555 states/eV per cell, density 11.41 g cm⁻³, energy of formation -9 meV per atom. Number 2: DOS at the Fermi energy 2.165 states/eV per cell, density 12.21 g cm⁻³, energy of formation -121 meV per atom. Number 3: DOS at the Fermi energy 3.905 states/eV per cell, density 10.20 g cm⁻³, energy of formation 137 meV per atom.